## a
A plane-wave DFT calculation with PBE was carried out for a relaxed structure of InTe2O.

a b c (Å): 6.995 6.995 6.995
angles (deg): 90.00 90.00 90.00
Space group Fm-3m (No. 225)
Asymmetric unit:
In  0.000  0.000  0.000 (multiplicity 4)
Te  0.250  0.250  0.250 (multiplicity 8)
O  0.000  0.000  0.500 (multiplicity 4)

Values from the calculation:
Theoretical density in Mg/m³: 7.49
Fermi-level density of states in states/eV per cell: 11.260

## b
A plane-wave DFT calculation with PBE was carried out for a relaxed structure of InTe2O.

a b c (Å): 5.679 5.679 13.990
angles (deg): 90.00 90.00 90.00
Space group I-42d (No. 122)
Asymmetric unit:
In  0.000  0.000  0.000 (multiplicity 4)
Te  0.131  0.250  0.625 (multiplicity 8)
O  0.000  0.000  0.500 (multiplicity 4)

Values from the calculation:
Theoretical density in Mg/m³: 5.68
Fermi-level density of states in states/eV per cell: 8.781

## c
A plane-wave DFT calculation with PBE was carried out for a relaxed structure of InTe2O.

a b c (Å): 3.4303 3.4303 28.7482
angles (deg): 90.00 90.00 120.00
Space group R-3m (No. 166, hexagonal axes)
Asymmetric unit:
In  0.0000  0.0000  0.0000 (multiplicity 3)
Te  0.0000  0.0000  0.4296 (multiplicity 6)
O  0.0000  0.0000  0.5000 (multiplicity 3)

Values from the calculation:
Theoretical density in Mg/m³: 6.56
Fermi-level density of states in states/eV per cell: 6.948

Most stable pick: b. Distance to second place: 5.8 kJ/mol of atoms.

## a
A plane-wave DFT calculation with PBE was carried out for a relaxed structure of In2Te2O.

a b c (Å): 6.354 6.354 6.721
angles (deg): 90.00 90.00 90.00
Space group I4/mmm (No. 139)
Asymmetric unit:
In  0.000  0.000  0.207 (multiplicity 4)
Te  0.000  0.500  0.250 (multiplicity 4)
O  0.000  0.000  0.500 (multiplicity 2)

Values from the calculation:
Theoretical density in Mg/m³: 6.13
Fermi-level density of states in states/eV per cell: 8.130

## b
A plane-wave DFT calculation with PBE was carried out for a relaxed structure of In2Te2O.

a b c (Å): 6.296 6.296 6.180
angles (deg): 90.00 90.00 90.00
Space group P4/mbm (No. 127)
Asymmetric unit:
In  0.170  0.330  0.000 (multiplicity 4)
Te  0.243  0.257  0.500 (multiplicity 4)
O  0.000  0.000  0.000 (multiplicity 2)

Values from the calculation:
Theoretical density in Mg/m³: 6.79
Fermi-level density of states in states/eV per cell: 4.171

Most stable pick: b. Distance to second place: 6.9 kJ/mol of atoms.

## a
A plane-wave DFT calculation with PBE was carried out for a relaxed structure of InTe3O.

a b c (Å): 5.607 5.607 5.607
angles (deg): 90.00 90.00 90.00
Space group Pm-3m (No. 221)
Asymmetric unit:
In  0.000  0.000  0.000 (multiplicity 1)
Te  0.000  0.000  0.500 (multiplicity 3)
O  0.500  0.500  0.500 (multiplicity 1)

Values from the calculation:
Theoretical density in Mg/m³: 4.84
Fermi-level density of states in states/eV per cell: 8.172

## b
A plane-wave DFT calculation with PBE was carried out for a relaxed structure of InTe3O.

a b c (Å): 4.940 4.940 4.940
angles (deg): 90.00 90.00 90.00
Space group Pm-3m (No. 221)
Asymmetric unit:
In  0.000  0.000  0.000 (multiplicity 1)
Te  0.000  0.500  0.500 (multiplicity 3)
O  0.500  0.500  0.500 (multiplicity 1)

Values from the calculation:
Theoretical density in Mg/m³: 7.08
Fermi-level density of states in states/eV per cell: 3.606

Most stable pick: b. Distance to second place: 102.4 kJ/mol of atoms.

## a
A plane-wave DFT calculation with PBE was carried out for a relaxed structure of Ti2InO.

a b c (Å): 3.2128 3.2128 20.1173
angles (deg): 90.00 90.00 120.00
Space group R-3m (No. 166, hexagonal axes)
Asymmetric unit:
Ti  0.0000  0.0000  0.2169 (multiplicity 6)
In  0.0000  0.0000  0.0000 (multiplicity 3)
O  0.0000  0.0000  0.5000 (multiplicity 3)

Values from the calculation:
Theoretical density in Mg/m³: 6.28
Fermi-level density of states in states/eV per cell: 9.137

## b
A plane-wave DFT calculation with PBE was carried out for a relaxed structure of Ti2InO.

a b c (Å): 7.596 3.117 11.214
angles (deg): 90.00 90.00 90.00
Space group Pnma (No. 62)
Asymmetric unit:
Ti  0.034  0.250  0.111 (multiplicity 4)
Ti  0.238  0.750  0.294 (multiplicity 4)
In  0.069  0.750  0.621 (multiplicity 4)
O  0.122  0.250  0.941 (multiplicity 4)

Values from the calculation:
Theoretical density in Mg/m³: 5.67
Fermi-level density of states in states/eV per cell: 10.451

## c
A plane-wave DFT calculation with PBE was carried out for a relaxed structure of Ti2InO.

a b c (Å): 6.353 6.353 6.353
angles (deg): 90.00 90.00 90.00
Space group Fm-3m (No. 225)
Asymmetric unit:
Ti  0.250  0.250  0.250 (multiplicity 8)
In  0.000  0.000  0.000 (multiplicity 4)
O  0.000  0.000  0.500 (multiplicity 4)

Values from the calculation:
Theoretical density in Mg/m³: 5.87
Fermi-level density of states in states/eV per cell: 24.234

Most stable pick: a. Distance to second place: 8.6 kJ/mol of atoms.

## a
A plane-wave DFT calculation with PBE was carried out for a relaxed structure of Ti2InO.

a b c (Å): 2.804 2.804 7.140
angles (deg): 90.00 90.00 90.00
Space group P4/mmm (No. 123)
Asymmetric unit:
Ti  0.000  0.000  0.183 (multiplicity 2)
In  0.500  0.500  0.500 (multiplicity 1)
O  0.500  0.500  0.000 (multiplicity 1)

Values from the calculation:
Theoretical density in Mg/m³: 6.70
Fermi-level density of states in states/eV per cell: 2.717

## b
A plane-wave DFT calculation with PBE was carried out for a relaxed structure of Ti2InO.

a b c (Å): 6.263 6.263 6.912
angles (deg): 90.00 90.00 90.00
Space group I-42d (No. 122)
Asymmetric unit:
Ti  0.125  0.250  0.125 (multiplicity 8)
In  0.000  0.000  0.500 (multiplicity 4)
O  0.000  0.000  0.000 (multiplicity 4)

Values from the calculation:
Theoretical density in Mg/m³: 5.55
Fermi-level density of states in states/eV per cell: 13.423

Most stable pick: b. Distance to second place: 19.4 kJ/mol of atoms.

## a
A plane-wave DFT calculation with PBE was carried out for a relaxed structure of Ti6In3O.

a b c (Å): 9.637 14.850 4.913
angles (deg): 90.00 90.00 90.00
Space group Cmc2_1 (No. 36)
Asymmetric unit:
Ti  0.000  0.069  0.000 (multiplicity 4)
Ti  0.000  0.269  0.507 (multiplicity 4)
Ti  0.161  0.422  0.485 (multiplicity 8)
Ti  0.169  0.235  0.019 (multiplicity 8)
In  0.000  0.404  0.988 (multiplicity 4)
In  0.175  0.096  0.478 (multiplicity 8)
O  0.000  0.193  0.839 (multiplicity 4)

Values from the calculation:
Theoretical density in Mg/m³: 6.12
Fermi-level density of states in states/eV per cell: 38.392

## b
A plane-wave DFT calculation with PBE was carried out for a relaxed structure of Ti6In3O.

a b c (Å): 10.373 2.953 11.810
angles (deg): 90.00 97.72 90.00
Space group P2_1/m (No. 11)
Asymmetric unit:
Ti  0.021  0.250  0.290 (multiplicity 2)
Ti  0.129  0.250  0.532 (multiplicity 2)
Ti  0.172  0.750  0.152 (multiplicity 2)
Ti  0.289  0.250  0.362 (multiplicity 2)
Ti  0.386  0.250  0.988 (multiplicity 2)
Ti  0.428  0.750  0.568 (multiplicity 2)
In  0.104  0.250  0.927 (multiplicity 2)
In  0.269  0.750  0.757 (multiplicity 2)
In  0.451  0.750  0.208 (multiplicity 2)
O  0.253  0.750  0.477 (multiplicity 2)

Values from the calculation:
Theoretical density in Mg/m³: 6.00
Fermi-level density of states in states/eV per cell: 18.849

Most stable pick: a. Distance to second place: 10.1 kJ/mol of atoms.

## a
A plane-wave DFT calculation with PBE was carried out for a relaxed structure of Ti6In2O.

a b c (Å): 5.924 5.924 8.357
angles (deg): 90.00 90.00 90.00
Space group I4/mmm (No. 139)
Asymmetric unit:
Ti  0.000  0.000  0.240 (multiplicity 4)
Ti  0.240  0.240  0.000 (multiplicity 8)
In  0.000  0.500  0.250 (multiplicity 4)
O  0.000  0.000  0.500 (multiplicity 2)

Values from the calculation:
Theoretical density in Mg/m³: 6.03
Fermi-level density of states in states/eV per cell: 8.370

## b
A plane-wave DFT calculation with PBE was carried out for a relaxed structure of Ti6In2O.

a b c (Å): 10.358 5.909 4.813
angles (deg): 90.00 90.72 90.00
Space group C2/m (No. 12)
Asymmetric unit:
Ti  0.080  0.246  0.233 (multiplicity 8)
Ti  0.169  0.000  0.755 (multiplicity 4)
In  0.167  0.500  0.740 (multiplicity 4)
O  0.000  0.000  0.500 (multiplicity 2)

Values from the calculation:
Theoretical density in Mg/m³: 6.01
Fermi-level density of states in states/eV per cell: 22.130

Most stable pick: b. Distance to second place: 0.9 kJ/mol of atoms.

## a
A plane-wave DFT calculation with PBE was carried out for a relaxed structure of TlIn2O4.

a b c (Å): 12.899 3.353 5.645
angles (deg): 90.00 114.39 90.00
Space group C2/m (No. 12)
Asymmetric unit:
Tl  0.000  0.000  0.000 (multiplicity 2)
In  0.224  0.500  0.728 (multiplicity 4)
O  0.149  0.000  0.845 (multiplicity 4)
O  0.160  0.500  0.308 (multiplicity 4)

Values from the calculation:
Theoretical density in Mg/m³: 7.44
Fermi-level density of states in states/eV per cell: 4.173

## b
A plane-wave DFT calculation with PBE was carried out for a relaxed structure of TlIn2O4.

a b c (Å): 6.449 10.205 3.500
angles (deg): 90.00 90.00 90.00
Space group Pbam (No. 55)
Asymmetric unit:
Tl  0.000  0.000  0.000 (multiplicity 2)
In  0.000  0.345  0.500 (multiplicity 4)
O  0.002  0.236  0.000 (multiplicity 4)
O  0.229  0.500  0.500 (multiplicity 4)

Values from the calculation:
Theoretical density in Mg/m³: 7.18
Fermi-level density of states in states/eV per cell: 3.691

Most stable pick: a. Distance to second place: 9.0 kJ/mol of atoms.

## a
A plane-wave DFT calculation with PBE was carried out for a relaxed structure of Tm2InO.

a b c (Å): 3.075 3.075 7.855
angles (deg): 90.00 90.00 90.00
Space group P4/mmm (No. 123)
Asymmetric unit:
Tm  0.000  0.000  0.196 (multiplicity 2)
In  0.500  0.500  0.500 (multiplicity 1)
O  0.500  0.500  0.000 (multiplicity 1)

Values from the calculation:
Theoretical density in Mg/m³: 10.48
Fermi-level density of states in states/eV per cell: 2.663

## b
A plane-wave DFT calculation with PBE was carried out for a relaxed structure of Tm2InO.

a b c (Å): 6.356 6.367 8.483
angles (deg): 90.00 97.90 90.00
Space group C2/m (No. 12)
Asymmetric unit:
Tm  0.000  0.248  0.000 (multiplicity 4)
Tm  0.194  0.500  0.672 (multiplicity 4)
In  0.184  0.000  0.684 (multiplicity 4)
O  0.230  0.500  0.937 (multiplicity 4)

Values from the calculation:
Theoretical density in Mg/m³: 9.16
Fermi-level density of states in states/eV per cell: 5.703

## c
A plane-wave DFT calculation with PBE was carried out for a relaxed structure of Tm2InO.

a b c (Å): 3.4791 3.4791 22.7493
angles (deg): 90.00 90.00 120.00
Space group R-3m (No. 166, hexagonal axes)
Asymmetric unit:
Tm  0.0000  0.0000  0.2237 (multiplicity 6)
In  0.0000  0.0000  0.0000 (multiplicity 3)
O  0.0000  0.0000  0.5000 (multiplicity 3)

Values from the calculation:
Theoretical density in Mg/m³: 9.79
Fermi-level density of states in states/eV per cell: 4.383

Most stable pick: b. Distance to second place: 5.5 kJ/mol of atoms.